Material: IrAuOF2
Method: DFT, SCAN
State: single point on PBEsol structure

It has space group P4/mmm (No. 123), with a = 4.237 Å, b = 4.237 Å, c = 4.033 Å, α = 90.00°, β = 90.00° and γ = 90.00°. The asymmetric unit holds Ir at (0.000, 0.000, 0.000), Au at (0.500, 0.500, 0.500), O at (0.500, 0.500, 0.000) and F at (0.000, 0.500, 0.500).

Its magnetization is 2.765 μB/f.u. For the total energy, the calculation gives -30.08 eV per atom. For the uncorrected formation energy, the calculation gives 0.6352 eV per atom. The value obtained for the volume is 14.48 Å³ per atom.